[1]
The following is a PBE-GGA calculation of crystalline BaCaCu at its relaxed geometry, from the Alexandria database.

Cell and atoms, written as POSCAR:
```
BaCaCu
1.0
-2.020 3.381 3.686
-1.819 -1.912 4.704
2.732 0.979 4.547
Ba Cu Ca
1 1 1
Direct
0.000 0.000 0.000 Ba
0.750 0.750 0.750 Cu
0.500 0.500 0.500 Ca
```

Summary:
The calculation puts the energy above the most stable polymorph in this dataset at 0.162 eV/atom. For the total energy, the calculation gives -7.7 eV/f.u. The crystal system is cubic. The value obtained for the formation energy from the elements is 90 meV per atom. For the total magnetization, the calculation gives 0.00 Bohr magnetons per cell.

---

[2]
The following is a PBE-GGA calculation of crystalline BaCa3Cu2 at its relaxed geometry, from the Alexandria database.

Cell and atoms, written as POSCAR:
```
BaCa3Cu2
1.0
-3.903 0.628 1.704
-2.969 -8.459 1.754
2.130 -0.991 10.681
Cu Ba Ca
4 2 6
Direct
0.234 0.570 0.963 Cu
0.766 0.931 0.537 Cu
0.234 0.069 0.463 Cu
0.766 0.430 0.037 Cu
0.852 0.561 0.735 Ba
0.148 0.439 0.265 Ba
0.413 0.224 0.951 Ca
0.155 0.942 0.748 Ca
0.587 0.776 0.049 Ca
0.845 0.058 0.252 Ca
0.410 0.747 0.433 Ca
0.590 0.253 0.567 Ca
```

Summary:
For the total energy, the calculation gives -16.5 eV/f.u. The crystal system is monoclinic. The value obtained for the formation energy from the elements is -70 meV per atom. For the total magnetization, the calculation gives 0.00 Bohr magnetons per cell.

---

[3]
The following is a PBE-GGA calculation of crystalline Ba3CaCu at its relaxed geometry, from the Alexandria database.

Cell and atoms, written as POSCAR:
```
Ba3CaCu
1.0
6.377 0.000 0.000
0.000 6.377 0.000
0.000 0.000 6.377
Cu Ca Ba
1 1 3
Direct
0.000 0.000 0.000 Cu
0.500 0.500 0.500 Ca
0.000 0.000 0.500 Ba
0.500 0.000 0.000 Ba
0.000 0.500 0.000 Ba
```

Summary:
The calculation puts the energy above the most stable polymorph in this dataset at 0.000 eV/atom. For the total energy, the calculation gives -11.6 eV/f.u. The crystal system is cubic. The value obtained for the formation energy from the elements is 47 meV per atom. For the total magnetization, the calculation gives 0.00 Bohr magnetons per cell.

---

[4]
The following is a PBE-GGA calculation of crystalline Ba2CaCu at its relaxed geometry, from the Alexandria database.

Cell and atoms, written as POSCAR:
```
Ba2CaCu
1.0
0.000 4.370 4.370
4.370 0.000 4.370
4.370 4.370 0.000
Ba Cu Ca
2 1 1
Direct
0.750 0.750 0.750 Ba
0.250 0.250 0.250 Ba
0.500 0.500 0.500 Cu
0.000 0.000 0.000 Ca
```

Summary:
The calculation puts the energy above the most stable polymorph in this dataset at 0.243 eV/atom. For the total energy, the calculation gives -8.8 eV/f.u. The crystal system is cubic. The value obtained for the formation energy from the elements is 283 meV per atom. For the total magnetization, the calculation gives 0.00 Bohr magnetons per cell.

---

[5]
The following is a PBE-GGA calculation of crystalline BaCa2Cu at its relaxed geometry, from the Alexandria database.

Cell and atoms, written as POSCAR:
```
BaCa2Cu
1.0
-5.214 2.012 -1.891
-1.772 -4.615 -0.024
-1.487 0.547 4.683
Ba Ca Cu
1 2 1
Direct
0.500 0.000 0.500 Ba
0.000 0.500 0.500 Ca
0.000 0.000 0.000 Ca
0.500 0.500 0.000 Cu
```

Summary:
The calculation puts the energy above the most stable polymorph in this dataset at 0.225 eV/atom. For the total energy, the calculation gives -9.2 eV/f.u. The crystal system is tetragonal. The value obtained for the formation energy from the elements is 206 meV per atom. For the total magnetization, the calculation gives 0.00 Bohr magnetons per cell.

---

[6]
The following is a PBE-GGA calculation of crystalline Ba2CaCu at its relaxed geometry, from the Alexandria database.

Cell and atoms, written as POSCAR:
```
Ba2CaCu
1.0
3.956 0.036 0.000
-0.033 3.954 0.000
0.000 0.000 10.337
Ca Cu Ba
1 1 2
Direct
0.000 0.000 0.580 Ca
0.500 0.500 0.723 Cu
0.000 0.000 0.922 Ba
0.500 0.500 0.274 Ba
```

Summary:
The calculation puts the energy above the most stable polymorph in this dataset at 0.002 eV/atom. For the total energy, the calculation gives -9.8 eV/f.u. The crystal system is tetragonal. The value obtained for the formation energy from the elements is 42 meV per atom. For the total magnetization, the calculation gives 0.00 Bohr magnetons per cell.

---

- The lowest formation energy from the elements belongs to which entry?
  BaCa3Cu2

---

- The lowest formation energy from the elements belongs to which entry?
  BaCa3Cu2